Entry 1:
MgScNbOs: optimized geometry, PBE.

Values from the calculation:
- formation enthalpy at 0 K (eV per atom) = -0.15

Cell: 6.554 6.554 6.554 Å, 90.00 90.00 90.00°
Space group F-43m (No. 216)
One atom of each set of equivalent atoms:
Mg (0.000, 0.000, 0.000)
Sc (0.250, 0.250, 0.750)
Nb (0.250, 0.250, 0.250)
Os (0.000, 0.000, 0.500)

Entry 2:
YMn2Al10: optimized geometry, PBE.

Values from the calculation:
- formation enthalpy at 0 K (eV per atom) = -0.30

Cell: 8.989 10.220 9.046 Å, 90.00 90.00 90.00°
Space group Cmcm (No. 63)
One atom of each set of equivalent atoms:
Y (0.000, 0.127, 0.250)
Mn (0.250, 0.250, 0.000)
Al (0.000, 0.155, 0.596)
Al (0.000, 0.374, 0.043)
Al (0.153, 0.370, 0.750)
Al (0.227, 0.361, 0.250)
Al (0.229, 0.000, 0.000)

Entry 3:
NbTePd2: optimized geometry, PBE.

Values from the calculation:
- formation energy (no corrections) (meV per atom) = -45

Cell: 7.433 7.433 5.549 Å, 90.00 90.00 90.00°
Space group I-42d (No. 122)
One atom of each set of equivalent atoms:
Nb (0.000, 0.000, 0.000)
Te (0.000, 0.000, 0.500)
Pd (0.248, 0.250, 0.625)

Entry 4:
BeAl4Ir5: optimized geometry, PBE.

Values from the calculation:
- formation enthalpy at 0 K (eV per atom) = -0.90

Cell: 2.977 2.977 14.897 Å, 90.00 90.00 90.00°
Space group P4/mmm (No. 123)
One atom of each set of equivalent atoms:
Be (0.000, 0.000, 0.000)
Al (0.000, 0.000, 0.189)
Al (0.000, 0.000, 0.397)
Ir (0.500, 0.500, 0.092)
Ir (0.500, 0.500, 0.296)
Ir (0.500, 0.500, 0.500)

Entry 5:
CaDyAu4: optimized geometry, PBE.

Values from the calculation:
- formation enthalpy at 0 K (eV per atom) = -0.54
- distance to the lowest polymorph of the same formula (meV/atom) = 226.2

Cell: 8.027 8.027 8.027 Å, 90.00 90.00 90.00°
Space group F-43m (No. 216)
One atom of each set of equivalent atoms:
Ca (0.000, 0.000, 0.000)
Dy (0.250, 0.250, 0.750)
Au (0.125, 0.125, 0.375)

Entry 6:
Sc6NiRu2: optimized geometry, PBE.

Values from the calculation:
- formation enthalpy at 0 K (eV per atom) = -0.40

Cell: 4.535 11.636 13.546 Å, 90.00 90.00 90.00°
Space group Fmmm (No. 69)
One atom of each set of equivalent atoms:
Sc (0.000, 0.134, 0.000)
Sc (0.000, 0.134, 0.334)
Ni (0.000, 0.000, 0.500)
Ru (0.000, 0.000, 0.166)

Entry 7:
Ac8Ni5Pd: optimized geometry, PBE.

Values from the calculation:
- formation enthalpy at 0 K (eV per atom) = -0.27

Cell: 9.370 9.370 9.218 Å, 90.00 90.00 90.00°
Space group I-4 (No. 82)
One atom of each set of equivalent atoms:
Ac (0.053, 0.301, 0.072)
Ac (0.055, 0.190, 0.676)
Ni (0.000, 0.000, 0.000)
Ni (0.133, 0.250, 0.375)
Pd (0.000, 0.500, 0.750)

Entry 8:
LaSi2P: optimized geometry, PBE.

Values from the calculation:
- formation energy (no corrections) (meV per atom) = -488

Cell: 4.260 4.015 10.103 Å, 90.00 95.38 90.00°
Space group P2_1/m (No. 11)
One atom of each set of equivalent atoms:
La (0.029, 0.250, 0.201)
Si (0.152, 0.250, 0.515)
Si (0.471, 0.750, 0.058)
P (0.475, 0.250, 0.705)

Entry 9:
Ti3NiRh: optimized geometry, PBE.

Values from the calculation:
- formation enthalpy at 0 K (eV per atom) = 0.62
- distance to the lowest polymorph of the same formula (meV/atom) = 873.7

Cell: 4.661 4.661 4.661 Å, 90.00 90.00 90.00°
Space group Pm-3m (No. 221)
One atom of each set of equivalent atoms:
Ti (0.000, 0.000, 0.500)
Ni (0.500, 0.500, 0.500)
Rh (0.000, 0.000, 0.000)

Entry 10:
TaIn2Pb: optimized geometry, PBE.

Values from the calculation:
- formation enthalpy at 0 K (eV per atom) = 0.40

Cell: 3.846 3.846 6.255 Å, 90.00 90.00 90.00°
Space group P4mm (No. 99)
One atom of each set of equivalent atoms:
Ta (0.000, 0.000, 0.000)
In (0.000, 0.000, 0.486)
In (0.500, 0.500, 0.234)
Pb (0.500, 0.500, 0.762)

Entry 11:
GdInCuNi: optimized geometry, PBE.

Values from the calculation:
- formation enthalpy at 0 K (eV per atom) = -0.29

Cell: 6.634 6.634 6.634 Å, 90.00 90.00 90.00°
Space group F-43m (No. 216)
One atom of each set of equivalent atoms:
Gd (0.000, 0.000, 0.000)
In (0.000, 0.000, 0.500)
Cu (0.250, 0.250, 0.250)
Ni (0.250, 0.250, 0.750)

Entry 12:
K3Tl4In: optimized geometry, PBE.

Values from the calculation:
- formation enthalpy at 0 K (eV per atom) = -0.07
- distance to the lowest polymorph of the same formula (meV/atom) = 0.0

Cell: 6.666 8.583 11.051 Å, 90.00 90.00 90.00°
Space group Imm2 (No. 44)
One atom of each set of equivalent atoms:
K (0.000, 0.000, 0.000)
K (0.000, 0.225, 0.625)
Tl (0.000, 0.318, 0.309)
Tl (0.249, 0.500, 0.835)
In (0.000, 0.500, 0.069)